(1)
## Li3ScAg3 (PBE-GGA)

Data for a relaxed structure of Li3ScAg3.

a b c (Å): 6.705 6.705 6.705
angles (deg): 90.00 90.00 90.00
Space group Pm-3n (No. 223)
Unique sites:
Li 0.000 0.250 0.500
Sc 0.000 0.000 0.000
Ag 0.000 0.500 0.250

Properties
- Magnetic moment: 0.00 μB per formula unit
- Energy of formation: 0.37 eV/atom


(2)
## AlIn2Fe (PBE-GGA)

Data for a relaxed structure of AlIn2Fe.

a b c (Å): 4.215 4.215 4.193
angles (deg): 90.00 90.00 90.00
Space group P4/mmm (No. 123)
Unique sites:
Al 0.000 0.000 0.000
In 0.000 0.500 0.500
Fe 0.500 0.500 0.000

Properties
- Magnetic moment: 2.30 μB per formula unit
- Energy of formation: 0.35 eV/atom


(3)
## Pm2MgGa3 (PBE-GGA)

Data for a relaxed structure of Pm2MgGa3.

a b c (Å): 7.489 9.209 15.839
angles (deg): 90.00 90.00 90.00
Space group Fmmm (No. 69)
Unique sites:
Pm 0.247 0.000 0.000
Pm 0.250 0.250 0.250
Mg 0.000 0.000 0.333
Ga 0.000 0.000 0.164
Ga 0.000 0.246 0.082

Properties
- Magnetic moment: 0.00 μB per formula unit
- Energy of formation: -0.54 eV/atom


(4)
## Zn2GeMo2 (PBE-GGA)

Data for a relaxed structure of Zn2GeMo2.

a b c (Å): 6.471 6.471 3.989
angles (deg): 90.00 90.00 90.00
Space group P4/mbm (No. 127)
Unique sites:
Zn 0.161 0.339 0.000
Ge 0.000 0.000 0.500
Mo 0.137 0.637 0.500

Properties
- Magnetic moment: 0.00 μB per formula unit
- Energy of formation: 0.18 eV/atom


(5)
## TaNi2Pd4 (PBE-GGA)

Data for a relaxed structure of TaNi2Pd4.

a b c (Å): 4.820 8.859 4.962
angles (deg): 90.00 100.60 90.00
Space group P2_1/c (No. 14)
Unique sites:
Ta 0.000 0.000 0.000
Ni 0.364 0.089 0.361
Pd 0.088 0.663 0.983
Pd 0.465 0.140 0.877

Properties
- Magnetic moment: 0.00 μB per formula unit
- Energy of formation: -0.10 eV/atom


(6)
## RbBa2Cl2 (PBE-GGA)

Data for a relaxed structure of RbBa2Cl2.

a b c (Å): 9.274 9.274 6.120
angles (deg): 90.00 90.00 90.00
Space group P4/mbm (No. 127)
Unique sites:
Rb 0.000 0.000 0.000
Ba 0.177 0.323 0.500
Cl 0.195 0.305 0.000

Properties
- E_form (uncorrected): -6.6 eV per formula unit
- Magnetic moment: 0.00 μB per formula unit


Copy entry 5 word for word.
## TaNi2Pd4 (PBE-GGA)

Data for a relaxed structure of TaNi2Pd4.

a b c (Å): 4.820 8.859 4.962
angles (deg): 90.00 100.60 90.00
Space group P2_1/c (No. 14)
Unique sites:
Ta 0.000 0.000 0.000
Ni 0.364 0.089 0.361
Pd 0.088 0.663 0.983
Pd 0.465 0.140 0.877

Properties
- Magnetic moment: 0.00 μB per formula unit
- Energy of formation: -0.10 eV/atom


Q: Number 4 is which compound?
A: Zn2GeMo2